Record 1
The following is a GGA-PBE calculation of crystalline TbPm6Sm12 at its relaxed geometry, from Alexandria.

Cell and atoms, written as CIF:
```
data_TbPm6Sm12
_cell_length_a 9.9209
_cell_length_b 9.9209
_cell_length_c 9.9209
_cell_angle_alpha 112.22
_cell_angle_beta 112.22
_cell_angle_gamma 112.22
_symmetry_space_group_name_H-M 'P 1'
_symmetry_Int_Tables_number 1
loop_
_symmetry_equiv_pos_as_xyz
'x,y,z'
loop_
_atom_site_label
_atom_site_fract_x
_atom_site_fract_y
_atom_site_fract_z
_atom_site_occupancy
Tb1 0.0000 0.0000 0.0000 1
Pm1 0.2693 0.2693 0.5217 1
Pm2 0.2693 0.5217 0.2693 1
Pm3 0.4783 0.7307 0.7307 1
Pm4 0.5217 0.2693 0.2693 1
Pm5 0.7307 0.4783 0.7307 1
Pm6 0.7307 0.7307 0.4783 1
Sm1 0.0926 0.7305 0.7305 1
Sm2 0.1182 0.5000 0.8818 1
Sm3 0.1182 0.8818 0.5000 1
Sm4 0.2695 0.2695 0.9074 1
Sm5 0.2695 0.9074 0.2695 1
Sm6 0.5000 0.1182 0.8818 1
Sm7 0.5000 0.8818 0.1182 1
Sm8 0.7305 0.0926 0.7305 1
Sm9 0.7305 0.7305 0.0926 1
Sm10 0.8818 0.1182 0.5000 1
Sm11 0.8818 0.5000 0.1182 1
Sm12 0.9074 0.2695 0.2695 1
```

Results
**Calculated formation energy**: 0.3173 eV per atom
**Energy relative to the lowest polymorph listed for this composition**: 17.35 kJ/mol of atoms

---

Record 2
The following is a GGA-PBE calculation of crystalline RbHoIn2Cl6 at its relaxed geometry, from Alexandria.

Cell and atoms, written as CIF:
```
data_RbHoIn2Cl6
_cell_length_a 7.8596
_cell_length_b 7.8728
_cell_length_c 8.0712
_cell_angle_alpha 60.89
_cell_angle_beta 60.87
_cell_angle_gamma 60.06
_symmetry_space_group_name_H-M 'P 1'
_symmetry_Int_Tables_number 1
loop_
_symmetry_equiv_pos_as_xyz
'x,y,z'
loop_
_atom_site_label
_atom_site_fract_x
_atom_site_fract_y
_atom_site_fract_z
_atom_site_occupancy
Rb1 0.0000 0.0000 0.0000 1
Ho1 0.5099 0.5100 0.4698 1
In1 0.2080 0.2082 0.3758 1
In2 0.7137 0.7132 0.8592 1
Cl1 0.1823 0.7450 0.6766 1
Cl2 0.3283 0.6026 0.2148 1
Cl3 0.3961 0.1823 0.6756 1
Cl4 0.6028 0.8532 0.2143 1
Cl5 0.7465 0.3957 0.6756 1
Cl6 0.8533 0.3298 0.2136 1
```

Results
**Formation energy (no corrections)**: -1.657 eV/atom

---

Record 3
The following is a GGA-PBE calculation of crystalline EuAg2Ge2 at its relaxed geometry, from Alexandria.

Cell and atoms, written as CIF:
```
data_EuAg2Ge2
_cell_length_a 4.3919
_cell_length_b 4.3919
_cell_length_c 6.3205
_cell_angle_alpha 110.20
_cell_angle_beta 110.20
_cell_angle_gamma 90.07
_symmetry_space_group_name_H-M 'P 1'
_symmetry_Int_Tables_number 1
loop_
_symmetry_equiv_pos_as_xyz
'x,y,z'
loop_
_atom_site_label
_atom_site_fract_x
_atom_site_fract_y
_atom_site_fract_z
_atom_site_occupancy
Eu1 0.0000 0.0000 0.0000 1
Ag1 0.2507 0.7493 0.5000 1
Ag2 0.7493 0.2507 0.5000 1
Ge1 0.3879 0.3879 0.7781 1
Ge2 0.6121 0.6121 0.2219 1
```

Results
**Calculated formation energy**: -0.3617 eV per atom

---

Record 4
The following is a GGA-PBE calculation of crystalline PmMgGa2Pd2 at its relaxed geometry, from Alexandria.

Cell and atoms, written as CIF:
```
data_PmMgGa2Pd2
_cell_length_a 4.3994
_cell_length_b 4.3994
_cell_length_c 6.8698
_cell_angle_alpha 90.00
_cell_angle_beta 90.00
_cell_angle_gamma 120.00
_symmetry_space_group_name_H-M 'P 1'
_symmetry_Int_Tables_number 1
loop_
_symmetry_equiv_pos_as_xyz
'x,y,z'
loop_
_atom_site_label
_atom_site_fract_x
_atom_site_fract_y
_atom_site_fract_z
_atom_site_occupancy
Pm1 0.0000 0.0000 0.0000 1
Mg1 0.0000 0.0000 0.5000 1
Ga1 0.3333 0.6667 0.7309 1
Ga2 0.6667 0.3333 0.2691 1
Pd1 0.3333 0.6667 0.3386 1
Pd2 0.6667 0.3333 0.6614 1
```

Results
**Calculated formation energy**: -0.7369 eV per atom

---

Record 5
The following is a GGA-PBE calculation of crystalline LaCe2Pd at its relaxed geometry, from Alexandria.

Cell and atoms, written as CIF:
```
data_LaCe2Pd
_cell_length_a 9.9107
_cell_length_b 9.9107
_cell_length_c 9.9107
_cell_angle_alpha 21.93
_cell_angle_beta 21.93
_cell_angle_gamma 21.93
_symmetry_space_group_name_H-M 'P 1'
_symmetry_Int_Tables_number 1
loop_
_symmetry_equiv_pos_as_xyz
'x,y,z'
loop_
_atom_site_label
_atom_site_fract_x
_atom_site_fract_y
_atom_site_fract_z
_atom_site_occupancy
La1 0.0000 0.0000 0.0000 1
Ce1 0.2298 0.2298 0.2298 1
Ce2 0.4313 0.4313 0.4313 1
Pd1 0.8299 0.8299 0.8299 1
```

Results
**Calculated formation energy**: -0.1589 eV per atom
**Energy relative to the lowest polymorph listed for this composition**: 9.30 kJ/mol of atoms

---

Record 6
The following is a GGA-PBE calculation of crystalline SrMg2Cu at its relaxed geometry, from Alexandria.

Cell and atoms, written as CIF:
```
data_SrMg2Cu
_cell_length_a 5.5457
_cell_length_b 5.5457
_cell_length_c 5.5457
_cell_angle_alpha 129.34
_cell_angle_beta 129.34
_cell_angle_gamma 74.46
_symmetry_space_group_name_H-M 'P 1'
_symmetry_Int_Tables_number 1
loop_
_symmetry_equiv_pos_as_xyz
'x,y,z'
loop_
_atom_site_label
_atom_site_fract_x
_atom_site_fract_y
_atom_site_fract_z
_atom_site_occupancy
Sr1 0.0000 0.0000 0.0000 1
Mg1 0.2500 0.7500 0.5000 1
Mg2 0.7500 0.2500 0.5000 1
Cu1 0.5000 0.5000 0.0000 1
```

Results
**Calculated formation energy**: 0.1696 eV per atom

---

Record 7
The following is a GGA-PBE calculation of crystalline Li2Fe2As2H at its relaxed geometry, from Alexandria.

Cell and atoms, written as CIF:
```
data_Li2Fe2As2H
_cell_length_a 6.8926
_cell_length_b 6.8926
_cell_length_c 6.8926
_cell_angle_alpha 148.80
_cell_angle_beta 148.80
_cell_angle_gamma 44.71
_symmetry_space_group_name_H-M 'P 1'
_symmetry_Int_Tables_number 1
loop_
_symmetry_equiv_pos_as_xyz
'x,y,z'
loop_
_atom_site_label
_atom_site_fract_x
_atom_site_fract_y
_atom_site_fract_z
_atom_site_occupancy
Li1 0.1658 0.1658 0.0000 1
Li2 0.8342 0.8342 0.0000 1
Fe1 0.0000 0.5000 0.5000 1
Fe2 0.5000 0.0000 0.5000 1
As1 0.3779 0.3779 0.0000 1
As2 0.6221 0.6221 0.0000 1
H1 0.0000 0.0000 0.0000 1
```

Results
**Energy**: -5.15 eV per atom

---

Record 8
The following is a GGA-PBE calculation of crystalline TbAl2Ni at its relaxed geometry, from Alexandria.

Cell and atoms, written as CIF:
```
data_TbAl2Ni
_cell_length_a 3.0647
_cell_length_b 3.0647
_cell_length_c 7.3263
_cell_angle_alpha 90.00
_cell_angle_beta 90.00
_cell_angle_gamma 90.00
_symmetry_space_group_name_H-M 'P 1'
_symmetry_Int_Tables_number 1
loop_
_symmetry_equiv_pos_as_xyz
'x,y,z'
loop_
_atom_site_label
_atom_site_fract_x
_atom_site_fract_y
_atom_site_fract_z
_atom_site_occupancy
Tb1 0.0000 0.0000 0.0000 1
Al1 0.5000 0.5000 0.3138 1
Al2 0.5000 0.5000 0.6862 1
Ni1 0.0000 0.0000 0.5000 1
```

Results
**Calculated formation energy**: -0.4446 eV per atom